The following is a DFT calculation (PBE-GGA) of an optimized crystal structure of Li2CaSiP.

Lattice parameters (Å, degrees): 4.6095 5.4905 4.6095 90.00 90.00 90.00
With the nearest neighbours (Å) after each atom.
Positions (direct):
Si1 0.5000 0.5000 0.5000  4 Ca 3.26, 8 Li 3.58
Li1 0.0000 0.0000 0.5000  2 P 2.30
Li2 0.5000 0.0000 0.0000  2 P 2.30
P1 0.0000 0.0000 0.0000  4 Li 2.30
Ca1 0.0000 0.5000 0.0000  2 P 2.75

Values from the calculation:
The formation energy without anion corrections is -0.120 eV per atom.

=====

The following is a DFT calculation (PBE-GGA) of an optimized crystal structure of Pr2Ga4AgIr3.

Lattice parameters (Å, degrees): 4.3106 4.3106 10.5033 90.00 90.00 90.00
With the nearest neighbours (Å) after each atom.
Positions (direct):
Ga1 0.5000 0.5000 0.0000  4 Ir 2.55
Ga2 0.5000 0.0000 0.6335  3 Ir 2.49-2.57, 2 Ag 2.57
Ga3 0.0000 0.5000 0.3665  3 Ir 2.49-2.57, 2 Ag 2.57
Ga4 0.0000 0.0000 0.0000  4 Ir 2.55
Ir1 0.5000 0.0000 0.8703  5 Ga 2.49-2.55
Ir2 0.0000 0.0000 0.5000  4 Ga 2.57
Ir3 0.0000 0.5000 0.1297  5 Ga 2.49-2.55
Ag1 0.5000 0.5000 0.5000  4 Ga 2.57
Pr1 0.5000 0.0000 0.2453  6 Ir 3.28-3.44, 8 Ga 3.30-3.36, 2 Ag 3.44
Pr2 0.0000 0.5000 0.7547  6 Ir 3.28-3.44, 8 Ga 3.30-3.36, 2 Ag 3.44

Values from the calculation:
The calculation puts the formation enthalpy at 0 K at -0.589 eV/atom.

=====

The following is a DFT calculation (PBE-GGA) of an optimized crystal structure of TcRh2.

Lattice parameters (Å, degrees): 12.1228 12.1228 12.1228 167.08 167.08 18.31
With the nearest neighbours (Å) after each atom.
Positions (direct):
Rh1 0.4232 0.4232 0.0000  4 Tc 2.67, 6 Rh 2.68-2.73
Rh2 0.3268 0.8268 0.5000  4 Tc 2.67, 6 Rh 2.68-2.73
Rh3 0.1732 0.6732 0.5000  4 Tc 2.67, 6 Rh 2.68-2.73
Rh4 0.5768 0.5768 0.0000  4 Tc 2.67, 6 Rh 2.68-2.73
Tc1 0.0000 0.0000 0.0000  8 Rh 2.67, 4 Tc 2.73
Tc2 0.7500 0.2500 0.5000  8 Rh 2.67, 4 Tc 2.73

Values from the calculation:
The calculation puts the formation enthalpy at 0 K at 0.027 eV/atom. The offset from the most stable computed form comes out at 172 meV per atom.

=====

The following is a DFT calculation (PBE-GGA) of an optimized crystal structure of SrLa2MgNi.

Lattice parameters (Å, degrees): 5.4070 5.4070 6.0083 90.00 90.00 90.00
With the nearest neighbours (Å) after each atom.
Positions (direct):
La1 0.5000 0.0000 0.0000  2 Ni 2.70
La2 0.0000 0.5000 0.0000  2 Ni 2.70
Ni1 0.0000 0.0000 0.0000  4 La 2.70, 2 Sr 3.00
Mg1 0.5000 0.5000 0.5000  4 Sr 3.82, 8 La 4.04
Sr1 0.0000 0.0000 0.5000  2 Ni 3.00

Values from the calculation:
The calculation puts the formation enthalpy at 0 K at -0.030 eV/atom. The offset from the most stable computed form comes out at 47 meV per atom.

=====

The following is a DFT calculation (PBE-GGA) of an optimized crystal structure of Ce2DyInCo.

Lattice parameters (Å, degrees): 4.9413 4.9412 5.4790 90.00 90.00 90.00
With the nearest neighbours (Å) after each atom.
Positions (direct):
Co1 0.0000 0.0000 0.0000  4 Ce 2.47, 2 Dy 2.74
Ce1 0.0000 0.5000 0.0000  2 Co 2.47
Ce2 0.5000 0.0000 0.0000  2 Co 2.47
In1 0.5000 0.5000 0.5001  4 Dy 3.49, 8 Ce 3.69
Dy1 0.0000 0.0000 0.5000  2 Co 2.74

Values from the calculation:
The calculation puts the formation enthalpy at 0 K at -0.277 eV/atom.

=====

The following is a DFT calculation (PBE-GGA) of an optimized crystal structure of Cs2HfNi.

Lattice parameters (Å, degrees): 10.1629 10.1629 10.1629 93.02 93.02 153.47
With the nearest neighbours (Å) after each atom.
Positions (direct):
Cs1 0.5509 0.3750 0.6759  2 Ni 3.69, 2 Hf 4.05
Cs2 0.6991 0.8750 0.3241  2 Ni 3.69, 2 Hf 4.05
Cs3 0.1250 0.4491 0.8241  2 Ni 3.69, 2 Hf 4.05
Cs4 0.6250 0.3009 0.1759  2 Ni 3.69, 2 Hf 4.05
Hf1 0.2500 0.7500 0.5000  2 Ni 2.33
Hf2 0.0000 0.0000 0.0000  2 Ni 2.33
Ni1 0.7500 0.2500 0.5000  2 Hf 2.33
Ni2 0.5000 0.5000 0.0000  2 Hf 2.33

Values from the calculation:
The calculation puts the formation enthalpy at 0 K at 0.955 eV/atom. The offset from the most stable computed form comes out at 0 meV per atom.

=====

The following is a DFT calculation (PBE-GGA) of an optimized crystal structure of Ca2BeVPt.

Lattice parameters (Å, degrees): 5.6045 4.5432 5.6045 90.00 90.00 90.00
With the nearest neighbours (Å) after each atom.
Positions (direct):
Be1 0.5000 0.5000 0.5000  8 Ca 3.61, 4 Pt 3.96
V1 0.0000 0.0000 0.0000  2 Pt 2.27
Pt1 0.0000 0.5000 0.0000  2 V 2.27
Ca1 0.5000 0.0000 0.0000  2 V 2.80
Ca2 0.0000 0.0000 0.5000  2 V 2.80

Values from the calculation:
The calculation puts the formation enthalpy at 0 K at 0.811 eV/atom.

=====

The following is a DFT calculation (PBE-GGA) of an optimized crystal structure of SiPd2RuPb.

Lattice parameters (Å, degrees): 4.8424 5.1148 4.8424 90.00 90.00 90.00
With the nearest neighbours (Å) after each atom.
Positions (direct):
Pd1 0.0000 0.0000 0.5000  2 Ru 2.42
Pd2 0.5000 0.0000 0.0000  2 Ru 2.42
Si1 0.5000 0.5000 0.5000  4 Pb 3.42, 8 Pd 3.52
Ru1 0.0000 0.0000 0.0000  4 Pd 2.42, 2 Pb 2.56
Pb1 0.0000 0.5000 0.0000  2 Ru 2.56

Values from the calculation:
The formation energy without anion corrections is 1.154 eV per atom.

=====

The following is a DFT calculation (PBE-GGA) of an optimized crystal structure of Ac4ZnAg.

Lattice parameters (Å, degrees): 5.4567 5.4570 7.7580 90.00 90.00 90.00
With the nearest neighbours (Å) after each atom.
Positions (direct):
Ac1 0.5013 0.9976 0.7438  2 Zn 3.33, 2 Ag 3.37
Ac2 0.0014 0.4976 0.7439  2 Zn 3.33, 2 Ag 3.37
Ac3 0.5012 0.9971 0.2525  2 Zn 3.33, 2 Ag 3.37
Ac4 0.0012 0.4971 0.2525  2 Zn 3.33, 2 Ag 3.37
Ag1 0.5013 0.4973 0.9982  8 Ac 3.37
Zn1 0.0014 0.9971 0.4979  8 Ac 3.33

Values from the calculation:
The calculation puts the formation enthalpy at 0 K at 0.037 eV/atom. The offset from the most stable computed form comes out at 189 meV per atom.

=====

The following is a DFT calculation (PBE-GGA) of an optimized crystal structure of PuTh2Ti.

Lattice parameters (Å, degrees): 5.2673 5.2673 5.2673 60.00 60.00 60.00
With the nearest neighbours (Å) after each atom.
Positions (direct):
Th1 0.2500 0.2500 0.2500  4 Pu 3.23, 4 Ti 3.23
Th2 0.7500 0.7500 0.7500  4 Pu 3.23, 4 Ti 3.23
Pu1 0.0000 0.0000 0.0000  8 Th 3.23
Ti1 0.5000 0.5000 0.5000  8 Th 3.23

Values from the calculation:
The calculation puts the formation enthalpy at 0 K at 0.123 eV/atom. The offset from the most stable computed form comes out at 0 meV per atom.

=====

The following is a DFT calculation (PBE-GGA) of an optimized crystal structure of BaGaBi2.

Lattice parameters (Å, degrees): 6.7371 6.8004 7.4757 102.13 116.78 62.20
With the nearest neighbours (Å) after each atom.
Positions (direct):
Ga1 0.7262 0.2500 0.9525  4 Bi 2.88-2.92
Ga2 0.2738 0.7500 0.0475  4 Bi 2.88-2.92
Bi1 0.4143 0.6460 0.7108  2 Ga 2.88-2.92
Bi2 0.2035 0.1460 0.2892  2 Ga 2.88-2.92
Bi3 0.5857 0.3540 0.2892  2 Ga 2.88-2.92
Bi4 0.7965 0.8540 0.7108  2 Ga 2.88-2.92
Ba1 0.8610 0.7500 0.2220  4 Ga 3.56-3.85, 6 Bi 3.66-3.83
Ba2 0.1390 0.2500 0.7780  4 Ga 3.56-3.85, 6 Bi 3.66-3.83

Values from the calculation:
The calculation puts the formation enthalpy at 0 K at -0.480 eV/atom.

=====

The following is a DFT calculation (PBE-GGA) of an optimized crystal structure of RbAu2F4.

Lattice parameters (Å, degrees): 4.4346 6.8809 4.4346 97.92 90.14 82.08
With the nearest neighbours (Å) after each atom.
Positions (direct):
F1 0.4444 0.2717 0.0524  2 Au 2.22-2.24
F2 0.0524 0.7283 0.4444  2 Au 2.22-2.24
F3 0.9476 0.2717 0.5556  2 Au 2.22-2.24
F4 0.5556 0.7283 0.9476  2 Au 2.22-2.24
Au1 0.4387 0.3043 0.5613  4 F 2.22-2.24
Au2 0.5613 0.6957 0.4387  4 F 2.22-2.24
Rb1 0.0000 0.0000 0.0000  8 F 2.87-2.89

Values from the calculation:
The formation energy without anion corrections is -1.290 eV per atom.

=====

The following is a DFT calculation (PBE-GGA) of an optimized crystal structure of RbAc2H.

Lattice parameters (Å, degrees): 4.0326 4.0326 11.5873 79.98 79.98 60.00
With the nearest neighbours (Å) after each atom.
Positions (direct):
H1 0.5000 0.5000 0.5000  6 Ac 2.78
Ac1 0.1223 0.1223 0.6331  3 H 2.78
Ac2 0.8777 0.8777 0.3669  3 H 2.78
Rb1 0.0000 0.0000 0.0000  6 Rb 4.03, 2 Ac 4.17

Values from the calculation:
The value obtained for the calculated total energy is -0.1138 hartree per atom.

=====

The following is a DFT calculation (PBE-GGA) of an optimized crystal structure of LaY2MnNi.

Lattice parameters (Å, degrees): 5.1034 4.7158 5.1034 90.00 90.00 90.00
With the nearest neighbours (Å) after each atom.
Positions (direct):
La1 0.5000 0.5000 0.5000  8 Y 3.47, 4 Ni 3.61
Ni1 0.0000 0.5000 0.0000  2 Mn 2.36
Y1 0.0000 0.0000 0.5000  2 Mn 2.55
Y2 0.5000 0.0000 0.0000  2 Mn 2.55
Mn1 0.0000 0.0000 0.0000  2 Ni 2.36, 4 Y 2.55

Values from the calculation:
The calculation puts the formation enthalpy at 0 K at 0.366 eV/atom.

=====

The following is a DFT calculation (PBE-GGA) of an optimized crystal structure of MnFe2Ni7Ge2.

Lattice parameters (Å, degrees): 3.5692 3.5692 12.4174 73.28 73.28 89.86
With the nearest neighbours (Å) after each atom.
Positions (direct):
Ni1 0.7448 0.7448 0.5000  2 Fe 2.40, 2 Ge 2.47, 4 Ni 2.47-2.58
Ni2 0.3412 0.8413 0.1593  2 Ge 2.48, 6 Ni 2.52-2.54, 2 Mn 2.54, 2 Fe 2.56
Ni3 0.2552 0.2552 0.5000  2 Fe 2.40, 2 Ge 2.47, 4 Ni 2.47-2.58
Ni4 0.5000 0.5000 0.0000  4 Mn 2.52-2.53, 8 Ni 2.54
Ni5 0.8413 0.3412 0.1593  2 Ge 2.48, 6 Ni 2.52-2.54, 2 Mn 2.54, 2 Fe 2.56
Ni6 0.6588 0.1587 0.8407  2 Ge 2.48, 6 Ni 2.52-2.54, 2 Mn 2.54, 2 Fe 2.56
Ni7 0.1587 0.6588 0.8407  2 Ge 2.48, 6 Ni 2.52-2.54, 2 Mn 2.54, 2 Fe 2.56
Mn1 0.0000 0.0000 0.0000  12 Ni 2.52-2.54
Fe1 0.1790 0.1790 0.3213  6 Ni 2.40-2.56, 4 Ge 2.52-2.53
Fe2 0.8210 0.8210 0.6787  6 Ni 2.40-2.56, 4 Ge 2.52-2.53
Ge1 0.3110 0.3110 0.6887  6 Ni 2.47-2.48, 4 Fe 2.52-2.53
Ge2 0.6890 0.6890 0.3113  6 Ni 2.47-2.48, 4 Fe 2.52-2.53

Values from the calculation:
The calculation puts the formation enthalpy at 0 K at -0.046 eV/atom.

=====

The following is a DFT calculation (PBE-GGA) of an optimized crystal structure of Cd2TcAu.

Lattice parameters (Å, degrees): 9.7951 9.7951 9.7951 17.27 17.27 17.27
With the nearest neighbours (Å) after each atom.
Positions (direct):
Cd1 0.9983 0.9983 0.9983  3 Tc 2.91, 6 Cd 2.94, 3 Au 2.99
Cd2 0.5017 0.5017 0.5017  3 Tc 2.91, 6 Cd 2.94, 3 Au 2.99
Tc1 0.2500 0.2500 0.2500  6 Cd 2.91, 6 Tc 2.94
Au1 0.7500 0.7500 0.7500  6 Au 2.94, 6 Cd 2.99

Values from the calculation:
The calculation puts the formation enthalpy at 0 K at 0.228 eV/atom. The offset from the most stable computed form comes out at 2 meV per atom.

=====

The following is a DFT calculation (PBE-GGA) of an optimized crystal structure of CsMgPbF5.

Lattice parameters (Å, degrees): 6.4533 6.4533 7.8752 96.93 96.93 111.09
With the nearest neighbours (Å) after each atom.
Positions (direct):
Mg1 0.0000 0.0000 0.0000  6 F 2.03-2.08
Mg2 0.0000 0.0000 0.5000  6 F 2.03-2.08
Cs1 0.3286 0.6714 0.2500  7 F 2.95-3.24
Cs2 0.6714 0.3286 0.7500  7 F 2.95-3.24
F1 0.0469 0.9531 0.2500  2 Mg 2.03
F2 0.9239 0.2743 0.0779  1 Mg 2.05, 1 Pb 2.29
F3 0.7257 0.0761 0.4221  1 Mg 2.05, 1 Pb 2.29
F4 0.1989 0.3416 0.5323  1 Mg 2.08
F5 0.2743 0.9239 0.5779  1 Mg 2.05, 1 Pb 2.29
F6 0.8011 0.6584 0.4677  1 Mg 2.08
F7 0.3416 0.1989 0.0323  1 Mg 2.08
F8 0.0761 0.7257 0.9221  1 Mg 2.05, 1 Pb 2.29
F9 0.9531 0.0469 0.7500  2 Mg 2.03
F10 0.6584 0.8011 0.9677  1 Mg 2.08
Pb1 0.3224 0.6776 0.7500  4 F 2.29-2.41
Pb2 0.6776 0.3224 0.2500  4 F 2.29-2.41

Values from the calculation:
The formation energy without anion corrections is -2.829 eV per atom.

=====

The following is a DFT calculation (PBE-GGA) of an optimized crystal structure of MgAl2Co.

Lattice parameters (Å, degrees): 3.9022 3.9048 3.8542 90.00 90.00 90.00
With the nearest neighbours (Å) after each atom.
Positions (direct):
Co1 0.5000 0.0000 0.5000  8 Al 2.74, 4 Mg 2.76
Al1 0.0000 0.0000 0.0000  4 Co 2.74, 4 Mg 2.74, 4 Al 2.76
Al2 0.5000 0.5000 0.0000  4 Mg 2.74, 4 Co 2.74, 4 Al 2.76
Mg1 0.0000 0.5000 0.5000  8 Al 2.74, 4 Co 2.76

Values from the calculation:
The calculation puts the formation enthalpy at 0 K at -0.081 eV/atom.

=====

The following is a DFT calculation (PBE-GGA) of an optimized crystal structure of YZnW2.

Lattice parameters (Å, degrees): 4.6843 4.6843 4.6843 120.08 120.08 89.86
With the nearest neighbours (Å) after each atom.
Positions (direct):
W1 0.0000 0.0000 0.0000  4 W 2.87, 4 Zn 2.87
W2 0.2500 0.7500 0.5000  4 Y 2.87, 4 W 2.87
Zn1 0.7500 0.2500 0.5000  4 W 2.87, 4 Y 2.87
Y1 0.5000 0.5000 0.0000  4 W 2.87, 4 Zn 2.87

Values from the calculation:
The calculation puts the formation enthalpy at 0 K at 0.376 eV/atom.

=====

The following is a DFT calculation (PBE-GGA) of an optimized crystal structure of Pr3CdGa.

Lattice parameters (Å, degrees): 5.4053 5.4211 10.3716 90.00 74.90 90.00
With the nearest neighbours (Å) after each atom.
Positions (direct):
Pr1 0.7570 0.2500 0.1344  2 Ga 3.23, 2 Cd 3.23
Pr2 0.8914 0.7500 0.8656  2 Ga 3.23, 2 Cd 3.23
Pr3 0.3852 0.2500 0.8779  2 Cd 3.29, 2 Ga 3.30, 2 Pr 3.65
Pr4 0.2631 0.7500 0.1221  2 Cd 3.29, 2 Ga 3.30, 2 Pr 3.65
Pr5 0.0764 0.7500 0.4955  4 Cd 3.28-3.34, 4 Ga 3.28-3.33
Pr6 0.5719 0.2500 0.5045  4 Cd 3.28-3.34, 4 Ga 3.28-3.33
Ga1 0.1689 0.2500 0.3105  8 Pr 3.23-3.33
Ga2 0.4794 0.7500 0.6895  8 Pr 3.23-3.33
Cd1 0.9791 0.2500 0.6901  8 Pr 3.23-3.34
Cd2 0.6692 0.7500 0.3099  8 Pr 3.23-3.34

Values from the calculation:
The calculation puts the formation enthalpy at 0 K at -0.314 eV/atom. The offset from the most stable computed form comes out at 0 meV per atom.